Below is a relaxed Pr5ErPb3 crystal, with properties calculated at the PBE level.

Values from the calculation:
Total moment, μB per cell: 5.917
Formation enthalpy at 0 K, meV/atom: -406
Total DFT energy (no corrections), eV per atom: -4.80

Cell: 9.8099 9.8099 6.8282 Å, 90.00 90.00 120.00°
Space group P6_3/mcm (No. 193)
Asymmetric unit:
Pr 0.0000 0.3281 0.2500
Pr 0.3333 0.6667 0.0000
Er 0.0000 0.0000 0.0000
Pb 0.0000 0.3355 0.7500

Below is a relaxed MnTl4Br crystal, with properties calculated at the PBE level.

Values from the calculation:
Raw formation energy, kJ/mol of formula units: 187
Total moment, μB per cell: 18.143
Total DFT energy (no corrections), eV per atom: -3.06

Cell: 9.0864 9.0864 9.0864 Å, 90.00 90.00 90.00°
Space group F-43m (No. 216)
Asymmetric unit:
Mn 0.0000 0.0000 0.0000
Tl 0.1252 0.1252 0.6252
Br 0.2500 0.2500 0.2500

Below is a relaxed MgNbReSn crystal, with properties calculated at the PBE level.

Values from the calculation:
Total moment, μB per cell: 0.018
Formation enthalpy at 0 K, meV/atom: 240
Polymorph energy (0 for the lowest one), meV per atom: 245
Total DFT energy (no corrections), eV per atom: -6.79

Cell: 2.8735 5.1792 5.2828 Å, 110.71 93.07 90.57°
Space group P1 (No. 1)
Asymmetric unit:
Mg 0.0000 0.0000 0.0000
Nb 0.8915 0.5036 0.4832
Re 0.5086 0.5037 0.0085
Sn 0.4446 0.0109 0.5092

- Which value of total DFT energy (no corrections) does entry 1 give?
  -4.80 eV per atom